A plane-wave DFT calculation with PBE was carried out for a relaxed structure of HfZrSe2N.

energy relative to the lowest polymorph listed for this composition: 0.000 eV/atom
D(E_F): 2.5 states/eV/cell

a b c (Å): 5.209 5.209 3.927
angles (deg): 90.00 90.00 90.00
Positions (direct):
Hf1 0.000 0.000 0.000
Zr1 0.500 0.500 0.500
Se1 0.000 0.500 0.000
Se2 0.500 0.000 0.000
N1 0.000 0.000 0.500

A plane-wave DFT calculation with PBE was carried out for a relaxed structure of PuGaBi2.

energy relative to the lowest polymorph listed for this composition: 0.263 eV/atom
D(E_F): 14.1 states/eV/cell
energy relative to the elements: 5 kJ/mol of formula units

a b c (Å): 6.915 6.915 6.915
angles (deg): 41.05 41.05 41.05
Positions (direct):
Pu1 0.000 0.000 0.000
Ga1 0.830 0.830 0.830
Bi1 0.417 0.417 0.417
Bi2 0.585 0.585 0.585

A plane-wave DFT calculation with PBE was carried out for a relaxed structure of NpSnPt2.

D(E_F): 10.5 states/eV/cell
energy relative to the elements: -142 kJ/mol of formula units

a b c (Å): 3.306 3.306 7.335
angles (deg): 90.00 90.00 90.00
Positions (direct):
Np1 0.000 0.000 0.000
Sn1 0.000 0.000 0.500
Pt1 0.500 0.500 0.259
Pt2 0.500 0.500 0.741

A plane-wave DFT calculation with PBE was carried out for a relaxed structure of YMoAu2.

energy relative to the lowest polymorph listed for this composition: 0.045 eV/atom
D(E_F): 3.0 states/eV/cell
energy relative to the elements: -17 kJ/mol of formula units

a b c (Å): 3.562 3.562 6.309
angles (deg): 90.00 90.00 90.00
Positions (direct):
Y1 0.000 0.000 0.000
Mo1 0.500 0.500 0.705
Au1 0.000 0.000 0.509
Au2 0.500 0.500 0.254

A plane-wave DFT calculation with PBE was carried out for a relaxed structure of GeP2S6.

a b c (Å): 8.543 8.543 5.994
angles (deg): 101.00 101.00 87.32
Positions (direct):
Ge1 0.151 0.849 0.750
Ge2 0.849 0.151 0.250
P1 0.210 0.372 0.735
P2 0.372 0.210 0.235
P3 0.628 0.790 0.765
P4 0.790 0.628 0.265
S1 0.046 0.203 0.676
S2 0.143 0.589 0.892
S3 0.203 0.046 0.176
S4 0.297 0.426 0.447
S5 0.411 0.857 0.608
S6 0.426 0.297 0.947
S7 0.574 0.703 0.053
S8 0.589 0.143 0.392
S9 0.703 0.574 0.553
S10 0.797 0.954 0.824
S11 0.857 0.411 0.108
S12 0.954 0.797 0.324

A plane-wave DFT calculation with PBE was carried out for a relaxed structure of Cu2AuI.

energy relative to the lowest polymorph listed for this composition: 0.000 eV/atom
D(E_F): 0.0 states/eV/cell

a b c (Å): 7.314 7.314 7.314
angles (deg): 132.79 132.79 68.98
Positions (direct):
Cu1 0.119 0.625 0.994
Cu2 0.375 0.369 0.494
Cu3 0.631 0.125 0.006
Cu4 0.875 0.881 0.506
Au1 0.000 0.000 0.000
Au2 0.750 0.250 0.500
I1 0.250 0.750 0.500
I2 0.500 0.500 0.000

A plane-wave DFT calculation with PBE was carried out for a relaxed structure of SmPu2Au.

energy relative to the lowest polymorph listed for this composition: 0.094 eV/atom
D(E_F): 16.5 states/eV/cell
energy relative to the elements: 9 kJ/mol of formula units

a b c (Å): 5.219 5.219 5.219
angles (deg): 60.00 60.00 60.00
Positions (direct):
Sm1 0.000 0.000 0.000
Pu1 0.250 0.250 0.250
Pu2 0.750 0.750 0.750
Au1 0.500 0.500 0.500

A plane-wave DFT calculation with PBE was carried out for a relaxed structure of Rb5H2S4.

a b c (Å): 8.997 8.997 8.201
angles (deg): 91.51 91.51 37.68
Positions (direct):
Rb1 0.000 0.000 0.000
Rb2 0.336 0.336 0.960
Rb3 0.371 0.371 0.502
Rb4 0.629 0.629 0.498
Rb5 0.664 0.664 0.040
H1 0.124 0.124 0.287
H2 0.876 0.876 0.713
S1 0.201 0.201 0.258
S2 0.490 0.490 0.196
S3 0.510 0.510 0.804
S4 0.799 0.799 0.742

Number 1: DFT total energy -7.13 eV/atom. Number 2: DFT total energy -6.27 eV/atom. Number 3: DFT total energy -7.62 eV/atom. Number 4: DFT total energy -6.01 eV/atom. Number 5: DFT total energy -4.57 eV/atom. Number 6: DFT total energy -2.95 eV/atom. Number 7: DFT total energy -9.14 eV/atom. Number 8: DFT total energy -3.31 eV/atom.